Rb2CdAuF | GGA-PBE | optimized geometry

Summary:
uncorrected formation energy: -0.452 eV/atom
uncorrected energy: -2.052 eV per atom
D(E_F): 1.611 states/eV per cell
V: 41.7 Å³/atom

Unit cell a=6.633 b=4.743 c=6.633 alpha=90.00 beta=90.00 gamma=90.00
Sites, in units of the cell vectors:
Rb 0.500 0.000 0.000
Rb 0.000 0.000 0.500
F 0.000 0.500 0.000
Cd 0.500 0.500 0.500
Au 0.000 0.000 0.000